1.
Below is a relaxed structure of LiNiTeN2, with properties calculated at the PBE level.

Unit cell a=3.683 b=3.683 c=4.918 alpha=90.00 beta=90.00 gamma=90.00
Positions (direct):
Li  0.000  0.000  0.000
Ni  0.500  0.500  0.500
Te  0.000  0.000  0.500
N  0.000  0.500  0.000
N  0.500  0.000  0.000

Computed properties:
The calculation puts the formation energy from raw total energies at 1704 meV/atom. As for the energy above the most stable polymorph in this dataset: 802 meV per atom.

2.
Below is a relaxed structure of Li2NiTeN, with properties calculated at the PBE level.

Unit cell a=4.570 b=4.570 c=3.513 alpha=90.00 beta=90.00 gamma=90.00
Positions (direct):
Li  0.000  0.500  0.000
Li  0.500  0.000  0.000
Ni  0.000  0.000  0.500
Te  0.500  0.500  0.500
N  0.000  0.000  0.000

Computed properties:
The calculation puts the formation energy from raw total energies at -300 meV/atom.

3.
Below is a relaxed structure of LiNiTe2N, with properties calculated at the PBE level.

Unit cell a=5.511 b=5.511 c=3.375 alpha=90.00 beta=90.00 gamma=90.00
Positions (direct):
Li  0.000  0.000  0.000
Ni  0.500  0.500  0.500
Te  0.000  0.500  0.500
Te  0.500  0.000  0.500
N  0.500  0.500  0.000

Computed properties:
The calculation puts the formation energy from raw total energies at 110 meV/atom. As for the energy above the most stable polymorph in this dataset: 0 meV per atom.

4.
Below is a relaxed structure of LiNi2TeN, with properties calculated at the PBE level.

Unit cell a=3.864 b=3.864 c=4.250 alpha=90.00 beta=90.00 gamma=90.00
Positions (direct):
Li  0.000  0.000  0.000
Ni  0.000  0.500  0.500
Ni  0.500  0.000  0.500
Te  0.500  0.500  0.000
N  0.000  0.000  0.500

Computed properties:
The calculation puts the formation energy from raw total energies at -86 meV/atom.

5.
Below is a relaxed structure of LiNiTeN2, with properties calculated at the PBE level.

Unit cell a=3.770 b=3.770 c=5.525 alpha=90.00 beta=90.00 gamma=90.00
Positions (direct):
Li  0.000  0.000  0.000
Ni  0.500  0.500  0.500
Te  0.500  0.500  0.000
N  0.000  0.500  0.500
N  0.500  0.000  0.500

Computed properties:
The calculation puts the formation energy from raw total energies at 902 meV/atom. As for the energy above the most stable polymorph in this dataset: 0 meV per atom.

6.
Below is a relaxed structure of LiNiTe2N, with properties calculated at the PBE level.

Unit cell a=5.057 b=5.057 c=3.351 alpha=90.00 beta=90.00 gamma=90.00
Positions (direct):
Li  0.000  0.000  0.000
Ni  0.500  0.500  0.500
Te  0.000  0.500  0.000
Te  0.500  0.000  0.000
N  0.000  0.000  0.500

Computed properties:
The calculation puts the formation energy from raw total energies at 940 meV/atom. As for the energy above the most stable polymorph in this dataset: 830 meV per atom.

7.
Below is a relaxed structure of LiTi2NiN, with properties calculated at the PBE level.

Unit cell a=4.068 b=4.068 c=3.704 alpha=90.00 beta=90.00 gamma=90.00
Positions (direct):
Li  0.000  0.000  0.000
Ti  0.000  0.500  0.500
Ti  0.500  0.000  0.500
Ni  0.500  0.500  0.000
N  0.000  0.000  0.500

Computed properties:
The calculation puts the formation energy from raw total energies at -651 meV/atom.

8.
Below is a relaxed structure of Li2TlNiN, with properties calculated at the PBE level.

Unit cell a=4.343 b=4.343 c=3.587 alpha=90.00 beta=90.00 gamma=90.00
Positions (direct):
Li  0.000  0.500  0.000
Li  0.500  0.000  0.000
Tl  0.000  0.000  0.500
Ni  0.500  0.500  0.500
N  0.500  0.500  0.000

Computed properties:
The calculation puts the formation energy from raw total energies at -232 meV/atom.

Q: Among the records above, which one has the highest formation energy from raw total energies?
A: number 1